No. 1
This record from Alexandria describes a relaxed Tc2H2Ir crystal. The functional is PBE.

The structure in POSCAR format:
```
Tc2H2Ir
1.0
6.005 0.000 0.000
0.000 6.005 0.000
0.000 0.000 2.785
Tc Ir H
4 2 4
Direct
0.635 0.865 0.500
0.365 0.135 0.500
0.865 0.365 0.500
0.135 0.635 0.500
0.000 0.000 0.000
0.500 0.500 0.000
0.145 0.355 0.000
0.855 0.645 0.000
0.645 0.145 0.000
0.355 0.855 0.000
```

Computed properties:
Calculated total energy ... -70.24 eV/cell

No. 2
This record from Alexandria describes a relaxed Tc3HIr crystal. The functional is PBE.

The structure in POSCAR format:
```
Tc3HIr
1.0
-1.294 -3.563 -0.976
0.399 -1.163 3.716
-3.672 1.129 0.748
H Tc Ir
1 3 1
Direct
0.000 0.000 0.000
0.000 0.000 0.500
0.500 0.000 0.000
0.000 0.500 0.000
0.500 0.500 0.500
```

Computed properties:
Calculated total energy ... -43.61 eV/cell

| no. | V (A^3/atom) | density of states at the Fermi level (states/eV per cell) | offset from the most stable computed form (meV per atom) |
| --- | --- | --- | --- |
| 1 | 10.0 | 4.6 | 0.0 |
| 2 | 12.0 | 3.8 | 0.0 |